[1]
# CdTcF2

A relaxed CdTcF2 crystal (PBE, Alexandria).

Computed properties:
* space-group type: No. 225
* uncorrected formation energy: -0.4225 eV/atom
* final energy: -4.18 eV per atom
* energy relative to the lowest polymorph listed for this composition: 645 meV/atom

Cell: 6.2388 6.2388 6.2388 Å, 90.00 90.00 90.00°
Atoms (fractional coordinates):
1 Cd 0.0000 0.0000 0.0000
2 Cd 0.0000 0.5000 0.5000
3 Cd 0.5000 0.0000 0.5000
4 Cd 0.5000 0.5000 0.0000
5 Tc 0.0000 0.0000 0.5000
6 Tc 0.0000 0.5000 0.0000
7 Tc 0.5000 0.0000 0.0000
8 Tc 0.5000 0.5000 0.5000
9 F 0.2500 0.2500 0.2500
10 F 0.2500 0.2500 0.7500
11 F 0.2500 0.7500 0.2500
12 F 0.2500 0.7500 0.7500
13 F 0.7500 0.2500 0.2500
14 F 0.7500 0.2500 0.7500
15 F 0.7500 0.7500 0.2500
16 F 0.7500 0.7500 0.7500

[2]
# CaSc2Tl3S6

A relaxed CaSc2Tl3S6 crystal (PBE, Alexandria).

Computed properties:
* space-group type: No. 12
* uncorrected formation energy: -1.2652 eV/atom
* final energy: -5.14 eV per atom

Cell: 6.8358 6.8358 7.5287 Å, 98.77 98.77 120.05°
Atoms (fractional coordinates):
1 Ca 0.0000 0.0000 0.0000
2 Sc 0.3314 0.6686 0.0000
3 Sc 0.6686 0.3314 0.0000
4 Tl 0.1616 0.8384 0.5000
5 Tl 0.5000 0.5000 0.5000
6 Tl 0.8384 0.1616 0.5000
7 S 0.0670 0.4241 0.1999
8 S 0.2931 0.2931 0.8074
9 S 0.4241 0.0670 0.1999
10 S 0.5759 0.9330 0.8001
11 S 0.7069 0.7069 0.1926
12 S 0.9330 0.5759 0.8001

[3]
# BRu

A relaxed BRu crystal (PBE, Alexandria).

Computed properties:
* space-group type: No. 44
* final energy: -8.05 eV per atom
* energy relative to the elements: -0.073 eV/atom

Cell: 2.9269 9.8675 4.3880 Å, 90.00 90.00 90.00°
Atoms (fractional coordinates):
1 B 0.0000 0.0000 0.0000
2 B 0.0000 0.1461 0.2402
3 B 0.0000 0.8539 0.2402
4 B 0.5000 0.3539 0.7402
5 B 0.5000 0.5000 0.5000
6 B 0.5000 0.6461 0.7402
7 Ru 0.0000 0.2001 0.7652
8 Ru 0.0000 0.5000 0.9155
9 Ru 0.0000 0.7999 0.7652
10 Ru 0.5000 0.0000 0.4155
11 Ru 0.5000 0.2999 0.2652
12 Ru 0.5000 0.7001 0.2652